# LiLaAsAu PBE-GGA optimized geometry
data_LiLaAsAu
_chemical_formula_sum 'Li1 La1 As1 Au1'
_space_group_name_H-M_alt 'P 1'
_space_group_IT_number 1
_cell_length_a 5.043
_cell_length_b 5.043
_cell_length_c 5.043
_cell_angle_alpha 60.00
_cell_angle_beta 60.00
_cell_angle_gamma 60.00
loop_
_space_group_symop_operation_xyz
'x,y,z'
loop_
_atom_site_label
_atom_site_type_symbol
_atom_site_fract_x
_atom_site_fract_y
_atom_site_fract_z
_atom_site_occupancy
Li1 Li 0.000 0.000 0.000 1
La1 La 0.500 0.500 0.500 1
As1 As 0.250 0.250 0.250 1
Au1 Au 0.750 0.750 0.750 1
# Calculated volume (Å³ per cell): 91
# Distance to the lowest polymorph of the same formula (eV per atom): 0.000



# LiAsAu2 PBE-GGA optimized geometry
data_LiAsAu2
_chemical_formula_sum 'Li1 As1 Au2'
_space_group_name_H-M_alt 'P 1'
_space_group_IT_number 1
_cell_length_a 4.627
_cell_length_b 4.627
_cell_length_c 4.627
_cell_angle_alpha 60.00
_cell_angle_beta 60.00
_cell_angle_gamma 60.00
loop_
_space_group_symop_operation_xyz
'x,y,z'
loop_
_atom_site_label
_atom_site_type_symbol
_atom_site_fract_x
_atom_site_fract_y
_atom_site_fract_z
_atom_site_occupancy
Li1 Li 0.000 0.000 0.000 1
As1 As 0.750 0.750 0.750 1
Au1 Au 0.250 0.250 0.250 1
Au2 Au 0.500 0.500 0.500 1
# Calculated total energy (eV/atom): -3.43
# Calculated volume (Å³ per cell): 70



# Li4MgAsAu2 PBE-GGA optimized geometry
data_Li4MgAsAu2
_chemical_formula_sum 'Li4 Mg1 As1 Au2'
_space_group_name_H-M_alt 'P 1'
_space_group_IT_number 1
_cell_length_a 4.216
_cell_length_b 4.216
_cell_length_c 7.199
_cell_angle_alpha 90.00
_cell_angle_beta 90.00
_cell_angle_gamma 90.00
loop_
_space_group_symop_operation_xyz
'x,y,z'
loop_
_atom_site_label
_atom_site_type_symbol
_atom_site_fract_x
_atom_site_fract_y
_atom_site_fract_z
_atom_site_occupancy
Li1 Li 0.000 0.000 0.000 1
Li2 Li 0.000 0.500 0.725 1
Li3 Li 0.500 0.000 0.275 1
Li4 Li 0.500 0.500 0.500 1
Mg1 Mg 0.500 0.500 0.000 1
As1 As 0.000 0.000 0.500 1
Au1 Au 0.000 0.500 0.243 1
Au2 Au 0.500 0.000 0.757 1
# Calculated total energy (eV/atom): -3.07
# Calculated volume (Å³ per cell): 128



# NaLiAsAu PBE-GGA optimized geometry
data_NaLiAsAu
_chemical_formula_sum 'Na1 Li1 As1 Au1'
_space_group_name_H-M_alt 'P 1'
_space_group_IT_number 1
_cell_length_a 4.647
_cell_length_b 4.647
_cell_length_c 4.647
_cell_angle_alpha 60.00
_cell_angle_beta 60.00
_cell_angle_gamma 60.00
loop_
_space_group_symop_operation_xyz
'x,y,z'
loop_
_atom_site_label
_atom_site_type_symbol
_atom_site_fract_x
_atom_site_fract_y
_atom_site_fract_z
_atom_site_occupancy
Na1 Na 0.000 0.000 0.000 1
Li1 Li 0.250 0.250 0.250 1
As1 As 0.500 0.500 0.500 1
Au1 Au 0.750 0.750 0.750 1
# Calculated volume (Å³ per cell): 71
# Distance to the lowest polymorph of the same formula (eV per atom): 0.013



# NaLiAsAu PBE-GGA optimized geometry
data_NaLiAsAu
_chemical_formula_sum 'Na1 Li1 As1 Au1'
_space_group_name_H-M_alt 'P 1'
_space_group_IT_number 1
_cell_length_a 4.630
_cell_length_b 4.630
_cell_length_c 4.630
_cell_angle_alpha 60.00
_cell_angle_beta 60.00
_cell_angle_gamma 60.00
loop_
_space_group_symop_operation_xyz
'x,y,z'
loop_
_atom_site_label
_atom_site_type_symbol
_atom_site_fract_x
_atom_site_fract_y
_atom_site_fract_z
_atom_site_occupancy
Na1 Na 0.000 0.000 0.000 1
Li1 Li 0.250 0.250 0.250 1
As1 As 0.750 0.750 0.750 1
Au1 Au 0.500 0.500 0.500 1
# Calculated volume (Å³ per cell): 70
# Distance to the lowest polymorph of the same formula (eV per atom): 0.000



# NaLiAsAu PBE-GGA optimized geometry
data_NaLiAsAu
_chemical_formula_sum 'Na1 Li1 As1 Au1'
_space_group_name_H-M_alt 'P 1'
_space_group_IT_number 1
_cell_length_a 4.673
_cell_length_b 4.673
_cell_length_c 4.673
_cell_angle_alpha 60.00
_cell_angle_beta 60.00
_cell_angle_gamma 60.00
loop_
_space_group_symop_operation_xyz
'x,y,z'
loop_
_atom_site_label
_atom_site_type_symbol
_atom_site_fract_x
_atom_site_fract_y
_atom_site_fract_z
_atom_site_occupancy
Na1 Na 0.000 0.000 0.000 1
Li1 Li 0.500 0.500 0.500 1
As1 As 0.250 0.250 0.250 1
Au1 Au 0.750 0.750 0.750 1
# Calculated volume (Å³ per cell): 72
# Distance to the lowest polymorph of the same formula (eV per atom): 0.139



# Li4NiAs2Au PBE-GGA optimized geometry
data_Li4NiAs2Au
_chemical_formula_sum 'Li4 Ni1 As2 Au1'
_space_group_name_H-M_alt 'P 1'
_space_group_IT_number 1
_cell_length_a 4.214
_cell_length_b 4.214
_cell_length_c 6.154
_cell_angle_alpha 90.00
_cell_angle_beta 90.00
_cell_angle_gamma 90.00
loop_
_space_group_symop_operation_xyz
'x,y,z'
loop_
_atom_site_label
_atom_site_type_symbol
_atom_site_fract_x
_atom_site_fract_y
_atom_site_fract_z
_atom_site_occupancy
Li1 Li 0.000 0.000 0.000 1
Li2 Li 0.000 0.500 0.238 1
Li3 Li 0.500 0.000 0.762 1
Li4 Li 0.500 0.500 0.500 1
Ni1 Ni 0.500 0.500 0.000 1
As1 As 0.000 0.500 0.781 1
As2 As 0.500 0.000 0.219 1
Au1 Au 0.000 0.000 0.500 1
# Calculated total energy (eV/atom): -3.75
# Calculated volume (Å³ per cell): 109



# LiAsAuO PBE-GGA optimized geometry
data_LiAsAuO
_chemical_formula_sum 'Li2 As2 Au2 O2'
_space_group_name_H-M_alt 'P 1'
_space_group_IT_number 1
_cell_length_a 3.022
_cell_length_b 7.940
_cell_length_c 5.365
_cell_angle_alpha 90.00
_cell_angle_beta 90.00
_cell_angle_gamma 90.00
loop_
_space_group_symop_operation_xyz
'x,y,z'
loop_
_atom_site_label
_atom_site_type_symbol
_atom_site_fract_x
_atom_site_fract_y
_atom_site_fract_z
_atom_site_occupancy
Li1 Li 0.000 0.080 0.000 1
Li2 Li 0.000 0.920 0.500 1
As1 As 0.500 0.377 0.834 1
As2 As 0.500 0.623 0.334 1
Au1 Au 0.500 0.317 0.348 1
Au2 Au 0.500 0.683 0.848 1
O1 O 0.000 0.113 0.332 1
O2 O 0.000 0.887 0.832 1
# Calculated volume (Å³ per cell): 129
# Distance to the lowest polymorph of the same formula (eV per atom): 0.096



# Li4AsAuO6 PBE-GGA optimized geometry
data_Li4AsAuO6
_chemical_formula_sum 'Li4 As1 Au1 O6'
_space_group_name_H-M_alt 'P 1'
_space_group_IT_number 1
_cell_length_a 5.154
_cell_length_b 5.154
_cell_length_c 5.253
_cell_angle_alpha 102.89
_cell_angle_beta 102.89
_cell_angle_gamma 115.91
loop_
_space_group_symop_operation_xyz
'x,y,z'
loop_
_atom_site_label
_atom_site_type_symbol
_atom_site_fract_x
_atom_site_fract_y
_atom_site_fract_z
_atom_site_occupancy
Li1 Li 0.000 0.000 0.000 1
Li2 Li 0.175 0.825 0.500 1
Li3 Li 0.499 0.501 0.500 1
Li4 Li 0.828 0.172 0.500 1
As1 As 0.684 0.316 0.000 1
Au1 Au 0.342 0.658 0.000 1
O1 O 0.019 0.378 0.264 1
O2 O 0.309 0.264 0.763 1
O3 O 0.439 0.099 0.196 1
O4 O 0.622 0.981 0.736 1
O5 O 0.736 0.691 0.237 1
O6 O 0.901 0.561 0.804 1
# Calculated total energy (eV/atom): -5.18
# Calculated volume (Å³ per cell): 114



# LiAsAuO PBE-GGA optimized geometry
data_LiAsAuO
_chemical_formula_sum 'Li2 As2 Au2 O2'
_space_group_name_H-M_alt 'P 1'
_space_group_IT_number 1
_cell_length_a 4.022
_cell_length_b 4.022
_cell_length_c 6.873
_cell_angle_alpha 90.00
_cell_angle_beta 90.00
_cell_angle_gamma 90.00
loop_
_space_group_symop_operation_xyz
'x,y,z'
loop_
_atom_site_label
_atom_site_type_symbol
_atom_site_fract_x
_atom_site_fract_y
_atom_site_fract_z
_atom_site_occupancy
Li1 Li 0.250 0.250 0.119 1
Li2 Li 0.750 0.750 0.881 1
As1 As 0.250 0.250 0.763 1
As2 As 0.750 0.750 0.237 1
Au1 Au 0.250 0.750 0.500 1
Au2 Au 0.750 0.250 0.500 1
O1 O 0.250 0.750 0.000 1
O2 O 0.750 0.250 0.000 1
# Calculated volume (Å³ per cell): 111
# Distance to the lowest polymorph of the same formula (eV per atom): 0.080



# LiAsAuO PBE-GGA optimized geometry
data_LiAsAuO
_chemical_formula_sum 'Li2 As2 Au2 O2'
_space_group_name_H-M_alt 'P 1'
_space_group_IT_number 1
_cell_length_a 3.224
_cell_length_b 7.137
_cell_length_c 5.434
_cell_angle_alpha 90.00
_cell_angle_beta 90.00
_cell_angle_gamma 90.00
loop_
_space_group_symop_operation_xyz
'x,y,z'
loop_
_atom_site_label
_atom_site_type_symbol
_atom_site_fract_x
_atom_site_fract_y
_atom_site_fract_z
_atom_site_occupancy
Li1 Li 0.000 0.127 0.000 1
Li2 Li 0.000 0.873 0.500 1
As1 As 0.000 0.473 0.565 1
As2 As 0.000 0.527 0.065 1
Au1 Au 0.500 0.208 0.572 1
Au2 Au 0.500 0.792 0.072 1
O1 O 0.500 0.075 0.156 1
O2 O 0.500 0.925 0.656 1
# Calculated volume (Å³ per cell): 125
# Distance to the lowest polymorph of the same formula (eV per atom): 0.000



# LiAsAuO PBE-GGA optimized geometry
data_LiAsAuO
_chemical_formula_sum 'Li2 As2 Au2 O2'
_space_group_name_H-M_alt 'P 1'
_space_group_IT_number 1
_cell_length_a 3.765
_cell_length_b 3.765
_cell_length_c 8.505
_cell_angle_alpha 90.00
_cell_angle_beta 90.00
_cell_angle_gamma 90.00
loop_
_space_group_symop_operation_xyz
'x,y,z'
loop_
_atom_site_label
_atom_site_type_symbol
_atom_site_fract_x
_atom_site_fract_y
_atom_site_fract_z
_atom_site_occupancy
Li1 Li 0.250 0.750 0.000 1
Li2 Li 0.750 0.250 0.000 1
As1 As 0.250 0.250 0.370 1
As2 As 0.750 0.750 0.630 1
Au1 Au 0.250 0.250 0.791 1
Au2 Au 0.750 0.750 0.209 1
O1 O 0.250 0.750 0.500 1
O2 O 0.750 0.250 0.500 1
# Calculated volume (Å³ per cell): 121
# Distance to the lowest polymorph of the same formula (eV per atom): 0.246